Density functional theory data (PBE) for an optimized crystal structure of Cd2IrO.

Results
ρ: 11020 kg/m³
raw formation energy: 0.1809 eV per atom
crystal system: tetragonal
DFT total energy: -14.93 eV/f.u.

a = 5.604 Å, b = 5.604 Å, c = 5.604 Å
α = 103.59°, β = 103.59°, γ = 122.01°
Fractional positions:
Cd 0.067 0.625 0.942
Cd 0.375 0.317 0.442
Cd 0.683 0.125 0.058
Cd 0.875 0.933 0.558
Ir 0.250 0.750 0.500
Ir 0.500 0.500 0.000
O 0.000 0.000 0.000
O 0.750 0.250 0.500

***

Density functional theory data (PBE) for an optimized crystal structure of CdIr2O8.

Results
ρ: 7715 kg/m³
raw formation energy: -0.4697 eV per atom
crystal system: monoclinic
DFT total energy: -63.47 eV/f.u.

a = 5.785 Å, b = 3.759 Å, c = 6.207 Å
α = 90.00°, β = 94.88°, γ = 90.00°
Fractional positions:
Cd 0.000 0.000 0.000
Ir 0.494 0.500 0.747
Ir 0.506 0.500 0.253
O 0.068 0.000 0.427
O 0.259 0.500 0.987
O 0.289 0.500 0.477
O 0.494 0.000 0.765
O 0.506 0.000 0.235
O 0.711 0.500 0.523
O 0.741 0.500 0.013
O 0.932 0.000 0.573

***

Density functional theory data (PBE) for an optimized crystal structure of CdIr3O.

Results
ρ: 15763 kg/m³
raw formation energy: 0.7076 eV per atom
crystal system: cubic
DFT total energy: -28.92 eV/f.u.

a = 4.204 Å, b = 4.204 Å, c = 4.204 Å
α = 90.00°, β = 90.00°, γ = 90.00°
Fractional positions:
Cd 0.000 0.000 0.000
Ir 0.000 0.500 0.500
Ir 0.500 0.000 0.500
Ir 0.500 0.500 0.000
O 0.500 0.500 0.500

***

Density functional theory data (PBE) for an optimized crystal structure of Cd2Ir2O7.

Results
ρ: 8861 kg/m³
raw formation energy: -0.8784 eV per atom
crystal system: cubic
DFT total energy: -63.92 eV/f.u.

a = 7.258 Å, b = 7.258 Å, c = 7.258 Å
α = 60.00°, β = 60.00°, γ = 60.00°
Fractional positions:
Cd 0.000 0.000 0.000
Cd 0.000 0.000 0.500
Cd 0.000 0.500 0.000
Cd 0.500 0.000 0.000
Ir 0.000 0.500 0.500
Ir 0.500 0.000 0.500
Ir 0.500 0.500 0.000
Ir 0.500 0.500 0.500
O 0.125 0.125 0.125
O 0.176 0.176 0.574
O 0.176 0.574 0.176
O 0.176 0.574 0.574
O 0.426 0.426 0.824
O 0.426 0.824 0.426
O 0.426 0.824 0.824
O 0.574 0.176 0.176
O 0.574 0.176 0.574
O 0.574 0.574 0.176
O 0.824 0.426 0.426
O 0.824 0.426 0.824
O 0.824 0.824 0.426
O 0.875 0.875 0.875